Record 1
Computed, not measured: crystalline YHgPbF6 at its relaxed geometry at the GGA-PBE level of DFT.

Cell lengths 6.2919, 6.2919, 10.2860 Å; angles 90.00, 90.00, 120.00 degrees
With the nearest neighbours (Å) after each atom.
Space group P-31c (No. 163)
One atom of each set of equivalent atoms:
Y 0.3333 0.6667 0.2500 x2  6 F 2.21
Hg 0.3333 0.6667 0.7500 x2  6 F 2.68
Pb 0.0000 0.0000 0.0000 x2  6 F 2.50
F 0.0586 0.3606 0.1303 x12  1 Y 2.21

Formation energy from raw total energies ... -2.722 eV/atom
Magnetic moment ... 1.04 μB per formula unit
Total DFT energy (no corrections) ... -46.203 eV/f.u.

Record 2
Computed, not measured: crystalline ScTe2Pt at its relaxed geometry at the GGA-PBE level of DFT.

Cell lengths 4.2626, 4.2626, 20.8064 Å; angles 90.00, 90.00, 120.00 degrees
With the nearest neighbours (Å) after each atom.
Space group R3m (No. 160, hexagonal axes)
One atom of each set of equivalent atoms:
Sc 0.0000 0.0000 0.0000 x3  3 Pt 2.88, 3 Te 2.93
Te 0.0000 0.0000 0.5531 x3  3 Pt 2.61
Te 0.0000 0.0000 0.7434 x3  3 Sc 2.93
Pt 0.0000 0.0000 0.2610 x3  3 Te 2.61, 3 Sc 2.88

Formation energy from raw total energies ... -0.756 eV/atom
Magnetic moment ... 0.00 μB per formula unit
Total DFT energy (no corrections) ... -21.678 eV/f.u.

Record 3
Computed, not measured: crystalline Th3ScTl12 at its relaxed geometry at the GGA-PBE level of DFT.

Cell lengths 4.7605, 4.7605, 19.4073 Å; angles 90.00, 90.00, 90.00 degrees
With the nearest neighbours (Å) after each atom.
Space group P4/mmm (No. 123)
One atom of each set of equivalent atoms:
Th 0.0000 0.0000 0.0000 x1  12 Tl 3.37-3.43
Th 0.0000 0.0000 0.2541 x2  12 Tl 3.37-3.44
Sc 0.0000 0.0000 0.5000 x1  12 Tl 3.30-3.37
Tl 0.0000 0.5000 0.1272 x4  8 Tl 3.37-3.43, 4 Th 3.43
Tl 0.0000 0.5000 0.3823 x4  8 Tl 3.30-3.45, 2 Sc 3.30, 2 Th 3.44
Tl 0.5000 0.5000 0.0000 x1  4 Th 3.37, 8 Tl 3.43
Tl 0.5000 0.5000 0.2537 x2  4 Th 3.37, 8 Tl 3.42-3.45
Tl 0.5000 0.5000 0.5000 x1  8 Tl 3.30, 4 Sc 3.37

E_form ... -136 meV per atom
Magnetic moment ... 0.00 μB per formula unit
Total DFT energy (no corrections) ... -59.158 eV/f.u.

Record 4
Computed, not measured: crystalline La3DySc at its relaxed geometry at the GGA-PBE level of DFT.

Cell lengths 5.7924, 19.1561, 6.0245 Å; angles 90.00, 90.00, 90.00 degrees
With the nearest neighbours (Å) after each atom.
Space group Cmc2_1 (No. 36)
One atom of each set of equivalent atoms:
La 0.0000 0.0508 0.0000 x4  3 Sc 3.45-3.80, 2 Dy 3.49, 7 La 3.59-3.82
La 0.0000 0.2490 0.9296 x4  3 Sc 3.32-3.53, 3 Dy 3.39-3.52
La 0.0000 0.4424 0.8819 x4  2 Sc 3.42, 2 Dy 3.45-3.46, 7 La 3.63-3.73
Dy 0.0000 0.3541 0.3828 x4  7 La 3.39-3.52, 2 Sc 3.76
Sc 0.0000 0.1475 0.4837 x4  7 La 3.32-3.62

E_form ... 84 meV per atom
Magnetic moment ... 0.00 μB per formula unit
Total DFT energy (no corrections) ... -25.298 eV/f.u.